No. 1
Here is a relaxed structure of Sr2LiCa8 from Alexandria via LeMat-Bulk. Energies are from PBE. Values from VASP.

Values from the calculation:
Its magnetic moment is 0.00 μB/atom. The calculation puts the volume at 43.4 Å³/atom. The calculation puts the formation energy at 0.062 eV per atom.

The structure in Quantum ESPRESSO input format:
```
&SYSTEM
  ibrav = 0, nat = 11, ntyp = 3
/
ATOMIC_SPECIES
Sr 87.62 Sr.upf
Li 6.94 Li.upf
Ca 40.08 Ca.upf
CELL_PARAMETERS angstrom
5.6288 0.0000 0.0000
0.0000 5.6288 0.0000
0.0000 0.0000 15.0673
ATOMIC_POSITIONS crystal
Sr 0.0000 0.0000 0.3114
Sr 0.0000 0.0000 0.6886
Li 0.0000 0.0000 0.0000
Ca 0.0000 0.5000 0.5000
Ca 0.5000 0.0000 0.5000
Ca 0.5000 0.5000 0.3156
Ca 0.5000 0.5000 0.6844
Ca 0.0000 0.5000 0.1261
Ca 0.5000 0.0000 0.1261
Ca 0.0000 0.5000 0.8739
Ca 0.5000 0.0000 0.8739
```


No. 2
Here is a relaxed structure of SrLiCa from Alexandria via LeMat-Bulk. Energies are from PBE. Values from VASP.

Values from the calculation:
Its magnetic moment is 0.00 μB/atom. The calculation puts the volume at 39.1 Å³/atom. The calculation puts the formation energy at 0.022 eV per atom.

The structure in Quantum ESPRESSO input format:
```
&SYSTEM
  ibrav = 0, nat = 3, ntyp = 3
/
ATOMIC_SPECIES
Sr 87.62 Sr.upf
Ca 40.08 Ca.upf
Li 6.94 Li.upf
CELL_PARAMETERS angstrom
-4.6582 -1.7936 -5.7208
-3.8189 -5.3218 -3.8377
-3.7565 -0.0322 1.6084
ATOMIC_POSITIONS crystal
Sr 0.3174 0.3174 0.6826
Ca 0.0246 0.0246 0.9754
Li 0.6580 0.6580 0.3420
```


No. 3
Here is a relaxed structure of Sr4LiCa3 from Alexandria via LeMat-Bulk. Energies are from PBE. Values from VASP.

Values from the calculation:
Its magnetic moment is 0.00 μB/atom. The calculation puts the volume at 46.9 Å³/atom. The calculation puts the formation energy at 0.059 eV per atom.

The structure in Quantum ESPRESSO input format:
```
&SYSTEM
  ibrav = 0, nat = 8, ntyp = 3
/
ATOMIC_SPECIES
Sr 87.62 Sr.upf
Li 6.94 Li.upf
Ca 40.08 Ca.upf
CELL_PARAMETERS angstrom
4.0432 0.0000 0.0000
0.0000 6.2385 0.0000
0.0000 0.0000 14.8604
ATOMIC_POSITIONS crystal
Sr 0.5000 0.5000 0.3184
Sr 0.0000 0.5000 0.8368
Sr 0.0000 0.0000 0.1670
Sr 0.5000 0.0000 0.6780
Li 0.5000 0.5000 0.0623
Ca 0.0000 0.5000 0.5655
Ca 0.0000 0.0000 0.4321
Ca 0.5000 0.0000 0.9399
```


No. 4
Here is a relaxed structure of Sr2LiCa8 from Alexandria via LeMat-Bulk. Energies are from PBE. Values from VASP.

Values from the calculation:
Its magnetic moment is 0.00 μB/atom. The calculation puts the volume at 42.6 Å³/atom. The calculation puts the formation energy at 0.040 eV per atom.

The structure in Quantum ESPRESSO input format:
```
&SYSTEM
  ibrav = 0, nat = 11, ntyp = 3
/
ATOMIC_SPECIES
Sr 87.62 Sr.upf
Li 6.94 Li.upf
Ca 40.08 Ca.upf
CELL_PARAMETERS angstrom
5.4462 0.0000 -1.4504
-0.6153 8.5316 -2.3103
-0.1928 -0.3135 10.2265
ATOMIC_POSITIONS crystal
Sr 0.2237 0.6364 0.4474
Sr 0.7763 0.3636 0.5526
Li 0.5000 0.0000 0.0000
Ca 0.5840 0.4329 0.1681
Ca 0.3239 0.0953 0.6477
Ca 0.1277 0.1602 0.2554
Ca 0.0424 0.7227 0.0849
Ca 0.8723 0.8398 0.7446
Ca 0.6761 0.9047 0.3523
Ca 0.4160 0.5671 0.8319
Ca 0.9576 0.2773 0.9151
```


No. 5
Here is a relaxed structure of Sr2LiCaTe from Alexandria via LeMat-Bulk. Energies are from PBE. Values from VASP.

Values from the calculation:
Its magnetic moment is 0.00 μB/atom. As for the formation energy (no corrections): -0.1397 eV per atom. The calculation puts the volume at 40.4 Å³/atom.

The structure in Quantum ESPRESSO input format:
```
&SYSTEM
  ibrav = 0, nat = 5, ntyp = 4
/
ATOMIC_SPECIES
Sr 87.62 Sr.upf
Ca 40.08 Ca.upf
Te 127.60 Te.upf
Li 6.94 Li.upf
CELL_PARAMETERS angstrom
6.0016 0.0000 0.0000
0.0000 5.6084 0.0000
0.0000 0.0000 6.0016
ATOMIC_POSITIONS crystal
Sr 0.0000 0.0000 0.5000
Sr 0.5000 0.0000 0.0000
Ca 0.0000 0.5000 0.0000
Te 0.5000 0.5000 0.5000
Li 0.0000 0.0000 0.0000
```


No. 6
Here is a relaxed structure of SrLiCa2Tl from Alexandria via LeMat-Bulk. Energies are from PBE. Values from VASP.

Values from the calculation:
Its magnetic moment is 0.00 μB/atom. The calculation puts the volume at 40.2 Å³/atom. The calculation puts the formation energy at -0.016 eV per atom.

The structure in Quantum ESPRESSO input format:
```
&SYSTEM
  ibrav = 0, nat = 5, ntyp = 4
/
ATOMIC_SPECIES
Sr 87.62 Sr.upf
Tl 204.38 Tl.upf
Ca 40.08 Ca.upf
Li 6.94 Li.upf
CELL_PARAMETERS angstrom
6.0972 0.0000 0.0000
0.0000 6.0972 0.0000
0.0000 0.0000 5.4055
ATOMIC_POSITIONS crystal
Sr 0.5000 0.5000 0.5000
Tl 0.0000 0.0000 0.0000
Ca 0.0000 0.5000 0.0000
Ca 0.5000 0.0000 0.0000
Li 0.0000 0.0000 0.5000
```